(1)
A geometry-optimized NbCrP structure, computed with GGA-PBE.

Lattice parameters (Å, degrees): 3.5495 3.5495 6.5184 90.00 90.00 90.00
With the nearest neighbours (Å) after each atom.
Fractional coordinates of all 6 atoms:
Nb 0.2500 0.2500 0.1536  5 P 2.59-2.65, 4 Cr 2.87
Nb 0.7500 0.7500 0.8464  5 P 2.59-2.65, 4 Cr 2.87
Cr 0.2500 0.7500 0.5000  4 P 2.40, 4 Cr 2.51
Cr 0.7500 0.2500 0.5000  4 P 2.40, 4 Cr 2.51
P 0.2500 0.2500 0.7478  4 Cr 2.40, 5 Nb 2.59-2.65
P 0.7500 0.7500 0.2522  4 Cr 2.40, 5 Nb 2.59-2.65

Results
* formation energy: -201.8 kJ/mol of formula units
* final energy: -9.0648 eV/atom
* total magnetization: 0.43 μB per formula unit
* ρ: 7.1 Mg/m³
* crystal system: tetragonal
* space-group type: P4/nmm



(2)
A geometry-optimized Sr2HgRu structure, computed with GGA-PBE.

Lattice parameters (Å, degrees): 8.3126 3.5637 8.4237 90.00 99.67 90.00
With the nearest neighbours (Å) after each atom.
Fractional coordinates of all 8 atoms:
Sr 0.2386 0.0000 0.2057  3 Ru 2.99-3.00
Sr 0.2614 0.5000 0.7943  3 Ru 2.99-3.00
Sr 0.7386 0.5000 0.2057  3 Ru 2.99-3.00
Sr 0.7614 0.0000 0.7943  3 Ru 2.99-3.00
Hg 0.0000 0.0000 0.5000  6 Sr 3.43-3.50, 2 Hg 3.56
Hg 0.5000 0.5000 0.5000  6 Sr 3.43-3.50, 2 Hg 3.56
Ru 0.0000 0.5000 0.0000  6 Sr 2.99-3.00
Ru 0.5000 0.0000 0.0000  6 Sr 2.99-3.00

Results
* formation energy: 112.6 kJ/mol of formula units
* final energy: -2.9437 eV/atom
* total magnetization: 0.36 μB per formula unit
* ρ: 6.4 Mg/m³
* crystal system: monoclinic
* space-group type: C2/m



(3)
A geometry-optimized Al2TeBr structure, computed with GGA-PBE.

Lattice parameters (Å, degrees): 4.9095 3.8249 7.2050 90.00 109.01 90.00
With the nearest neighbours (Å) after each atom.
Fractional coordinates of all 4 atoms:
Al 0.0000 0.0000 0.0000  1 Br 2.50, 2 Al 2.73, 2 Te 2.73
Al 0.3505 0.5000 0.9297  1 Te 2.68, 2 Al 2.73, 2 Br 2.91
Te 0.8552 0.5000 0.2219  3 Al 2.68-2.73
Br 0.5590 0.0000 0.7028  1 Al 2.50

Results
* offset from the most stable computed form: 0 meV per atom
* final energy: -3.4047 eV/atom
* total magnetization: 0.00 μB per formula unit
* ρ: 3.4 Mg/m³
* formation energy (no corrections): -0.330 eV/atom
* crystal system: monoclinic
* space-group type: Pm



(4)
A geometry-optimized ZrCdHg2 structure, computed with GGA-PBE.

Lattice parameters (Å, degrees): 3.0555 4.6020 6.4438 90.00 101.64 90.00
With the nearest neighbours (Å) after each atom.
Fractional coordinates of all 4 atoms:
Zr 0.0000 0.0000 0.0000  2 Zr 3.06, 8 Hg 3.12-3.18, 2 Cd 3.28
Cd 0.5000 0.0000 0.5000  4 Hg 2.92, 2 Cd 3.06
Hg 0.3747 0.5000 0.7603  2 Cd 2.92, 3 Hg 3.03-3.06, 4 Zr 3.12-3.18
Hg 0.6253 0.5000 0.2397  2 Cd 2.92, 3 Hg 3.03-3.06, 4 Zr 3.12-3.18

Results
* formation energy: -12.6 kJ/mol of formula units
* final energy: -2.5493 eV/atom
* total magnetization: 0.00 μB per formula unit
* ρ: 11.3 Mg/m³
* crystal system: monoclinic
* space-group type: P2/m